This record from Alexandria via LeMat-Bulk describes an optimized crystal structure of Pu4Bi3Te. The functional is GGA-PBE.

formation energy (no corrections) = -503.6 meV/atom
symmetry = P2/c, No. 13
DOS(E_F) = 7.119 states/eV/atom

Geometry as POSCAR:
```
Pu4Bi3Te
1.0
7.806 0.057 0.000
-2.700 7.333 0.000
0.000 0.000 9.092
Bi Te Pu
6 2 8
direct
0.750 0.000 0.374 Bi
0.250 0.000 0.626 Bi
0.750 0.500 0.125 Bi
0.250 0.500 0.373 Bi
0.250 0.500 0.875 Bi
0.750 0.500 0.627 Bi
0.750 0.000 0.876 Te
0.250 0.000 0.124 Te
0.999 0.250 0.626 Pu
0.000 0.754 0.878 Pu
0.001 0.750 0.374 Pu
0.500 0.754 0.122 Pu
0.500 0.246 0.878 Pu
0.000 0.246 0.122 Pu
0.499 0.250 0.374 Pu
0.501 0.750 0.626 Pu
```